Computed, not measured: a geometry-optimized CdIrW2 structure at the GGA-PBEsol level of DFT.

Cell: 3.2347 4.3278 9.0645 Å, 90.00 90.00 90.00°
Space group Immm (No. 71)
Unique sites:
Cd  0.0000  0.0000  0.0000 (multiplicity 2)
Ir  0.0000  0.0000  0.5000 (multiplicity 2)
W  0.0000  0.5000  0.2432 (multiplicity 4)

Summary:
Energy of formation = 0.37 eV/atom